[1]
A relaxed TiCo2MoH crystal, computed with PBE.

```
TiCo2MoH
1.0
3.710 0.000 0.000
0.000 3.710 0.000
0.000 0.000 3.876
Mo Co Ti H
1 2 1 1
direct
0.500 0.500 0.500 Mo
0.500 0.000 0.000 Co
0.000 0.500 0.000 Co
0.000 0.000 0.500 Ti
0.000 0.000 0.000 H
```

Space-group type ... P4/mmm, No. 123
D(E_F) ... 0.694 states/eV/atom

[2]
A relaxed Ti2CoMoH crystal, computed with PBE.

```
Ti2CoMoH
1.0
4.314 0.000 0.000
0.000 4.314 0.000
0.000 0.000 3.227
Co Ti Mo H
1 2 1 1
direct
0.000 0.000 0.500 Co
0.500 0.000 0.000 Ti
0.000 0.500 0.000 Ti
0.500 0.500 0.500 Mo
0.000 0.000 0.000 H
```

Space-group type ... P4/mmm, No. 123
D(E_F) ... 0.753 states/eV/atom

[3]
A relaxed CoMoHW2 crystal, computed with PBE.

```
CoMoHW2
1.0
4.204 0.000 0.000
0.000 4.204 0.000
0.000 0.000 3.434
H Co Mo W
1 1 1 2
direct
0.000 0.000 0.000 H
0.000 0.000 0.500 Co
0.500 0.500 0.500 Mo
0.000 0.500 0.000 W
0.500 0.000 0.000 W
```

Space-group type ... P4/mmm, No. 123
D(E_F) ... 0.868 states/eV/atom

| no. | size of the total moment (μB per cell) | energy (eV for the cell shown) | calculated density (g/cm3) |
| --- | --- | --- | --- |
| 1 | 0.0 | -36.868 | 8.18 |
| 2 | 0.2 | -38.437 | 6.96 |
| 3 | 0.8 | -46.450 | 14.32 |